Record 1
Below is crystalline Cu2P8Se3I2 at its relaxed geometry, with properties calculated at the PBE level.

energy = -4.42 eV/atom
space-group type = No. 57

a b c (Å): 9.272 12.574 13.921
angles (deg): 90.00 90.00 90.00
Sites, in units of the cell vectors:
1 Cu 0.001 0.126 0.250
2 Cu 0.001 0.374 0.750
3 Cu 0.192 0.080 0.750
4 Cu 0.192 0.420 0.250
5 Cu 0.808 0.580 0.750
6 Cu 0.808 0.920 0.250
7 Cu 0.999 0.626 0.250
8 Cu 0.999 0.874 0.750
9 P 0.075 0.195 0.108
10 P 0.075 0.195 0.392
11 P 0.075 0.305 0.608
12 P 0.075 0.305 0.892
13 P 0.183 0.072 0.020
14 P 0.183 0.072 0.480
15 P 0.183 0.428 0.520
16 P 0.183 0.428 0.980
17 P 0.234 0.167 0.612
18 P 0.234 0.167 0.888
19 P 0.234 0.333 0.112
20 P 0.234 0.333 0.388
21 P 0.447 0.244 0.579
22 P 0.447 0.244 0.921
23 P 0.447 0.256 0.079
24 P 0.447 0.256 0.421
25 P 0.553 0.744 0.579
26 P 0.553 0.744 0.921
27 P 0.553 0.756 0.079
28 P 0.553 0.756 0.421
29 P 0.766 0.667 0.612
30 P 0.766 0.667 0.888
31 P 0.766 0.833 0.112
32 P 0.766 0.833 0.388
33 P 0.817 0.572 0.020
34 P 0.817 0.572 0.480
35 P 0.817 0.928 0.520
36 P 0.817 0.928 0.980
37 P 0.925 0.695 0.108
38 P 0.925 0.695 0.392
39 P 0.925 0.805 0.608
40 P 0.925 0.805 0.892
41 Se 0.094 0.750 0.000
42 Se 0.094 0.750 0.500
43 Se 0.395 0.081 0.106
44 Se 0.395 0.081 0.394
45 Se 0.395 0.419 0.606
46 Se 0.395 0.419 0.894
47 Se 0.605 0.581 0.106
48 Se 0.605 0.581 0.394
49 Se 0.605 0.919 0.606
50 Se 0.605 0.919 0.894
51 Se 0.906 0.250 0.000
52 Se 0.906 0.250 0.500
53 I 0.097 0.573 0.750
54 I 0.097 0.927 0.250
55 I 0.283 0.616 0.250
56 I 0.283 0.884 0.750
57 I 0.717 0.116 0.250
58 I 0.717 0.384 0.750
59 I 0.903 0.073 0.750
60 I 0.903 0.427 0.250

***

Record 2
Below is crystalline LiWAuSeS2 at its relaxed geometry, with properties calculated at the PBE level.

energy = -5.30 eV/atom
space-group type = No. 63
magnetization = 1.62 μB/f.u.

a b c (Å): 7.205 7.205 9.993
angles (deg): 90.00 90.00 153.17
Sites, in units of the cell vectors:
1 Li 0.200 0.800 0.750
2 Li 0.800 0.200 0.250
3 W 0.500 0.500 0.000
4 W 0.500 0.500 0.500
5 Au 0.148 0.852 0.250
6 Au 0.852 0.148 0.750
7 Se 0.444 0.556 0.250
8 Se 0.556 0.444 0.750
9 S 0.129 0.871 0.018
10 S 0.129 0.871 0.482
11 S 0.871 0.129 0.518
12 S 0.871 0.129 0.982